Record 1
Computed, not measured: H2RuCl2O2 after structural relaxation at the PBE level of DFT.

## Properties
raw total energy	-32.05	eV/cell
density	3.2	g/cm³

Structure (CIF):
```
data_H2RuCl2O2
_chemical_formula_sum 'H2 Ru1 Cl2 O2'
_symmetry_space_group_name_H-M 'P 1'
_symmetry_Int_Tables_number 1
_cell_length_a 6.4929
_cell_length_b 6.4929
_cell_length_c 7.9667
_cell_angle_alpha 126.54
_cell_angle_beta 126.54
_cell_angle_gamma 23.58
loop_
_symmetry_equiv_pos_as_xyz
'x,y,z'
loop_
_atom_site_label
_atom_site_type_symbol
_atom_site_fract_x
_atom_site_fract_y
_atom_site_fract_z
H1 H 0.2106 0.2106 0.2882
H2 H 0.7894 0.7894 0.7118
Ru1 Ru 0.5000 0.5000 0.0000
Cl1 Cl 0.0572 0.0572 0.8205
Cl2 Cl 0.9428 0.9428 0.1795
O1 O 0.3131 0.3131 0.7460
O2 O 0.6869 0.6869 0.2540
```

Record 2
Computed, not measured: EuCdGaAu after structural relaxation at the PBE level of DFT.

## Properties
formation enthalpy at 0 K	-0.44	eV/atom
raw total energy	-19.26	eV/cell
density	9.8	g/cm³

Structure (CIF):
```
data_EuCdGaAu
_chemical_formula_sum 'Eu1 Cd1 Ga1 Au1'
_symmetry_space_group_name_H-M 'P 1'
_symmetry_Int_Tables_number 1
_cell_length_a 5.0257
_cell_length_b 5.0257
_cell_length_c 5.0257
_cell_angle_alpha 60.00
_cell_angle_beta 60.00
_cell_angle_gamma 60.00
loop_
_symmetry_equiv_pos_as_xyz
'x,y,z'
loop_
_atom_site_label
_atom_site_type_symbol
_atom_site_fract_x
_atom_site_fract_y
_atom_site_fract_z
Eu1 Eu 0.0000 0.0000 0.0000
Cd1 Cd 0.5000 0.5000 0.5000
Ga1 Ga 0.2500 0.2500 0.2500
Au1 Au 0.7500 0.7500 0.7500
```

Record 3
Computed, not measured: CuMo2Pt after structural relaxation at the PBE level of DFT.

## Properties
formation enthalpy at 0 K	-0.03	eV/atom
raw total energy	-31.93	eV/cell
density	12.6	g/cm³

Structure (CIF):
```
data_CuMo2Pt
_chemical_formula_sum 'Cu1 Mo2 Pt1'
_symmetry_space_group_name_H-M 'P 1'
_symmetry_Int_Tables_number 1
_cell_length_a 4.9283
_cell_length_b 4.9283
_cell_length_c 2.6875
_cell_angle_alpha 90.00
_cell_angle_beta 90.00
_cell_angle_gamma 114.80
loop_
_symmetry_equiv_pos_as_xyz
'x,y,z'
loop_
_atom_site_label
_atom_site_type_symbol
_atom_site_fract_x
_atom_site_fract_y
_atom_site_fract_z
Cu1 Cu 0.0000 0.0000 0.0000
Mo1 Mo 0.0000 0.5000 0.5000
Mo2 Mo 0.5000 0.0000 0.5000
Pt1 Pt 0.5000 0.5000 0.0000
```

Record 4
Computed, not measured: BiSbI2O after structural relaxation at the PBE level of DFT.

## Properties
raw total energy	-12.25	eV/cell
density	4.3	g/cm³

Structure (CIF):
```
data_BiSbI2O
_chemical_formula_sum 'Bi1 Sb1 I2 O1'
_symmetry_space_group_name_H-M 'P 1'
_symmetry_Int_Tables_number 1
_cell_length_a 6.1680
_cell_length_b 6.1680
_cell_length_c 6.0944
_cell_angle_alpha 90.00
_cell_angle_beta 90.00
_cell_angle_gamma 90.00
loop_
_symmetry_equiv_pos_as_xyz
'x,y,z'
loop_
_atom_site_label
_atom_site_type_symbol
_atom_site_fract_x
_atom_site_fract_y
_atom_site_fract_z
Bi1 Bi 0.0000 0.0000 0.0000
Sb1 Sb 0.0000 0.0000 0.5000
I1 I 0.0000 0.5000 0.0000
I2 I 0.5000 0.0000 0.0000
O1 O 0.5000 0.5000 0.5000
```

Record 5
Computed, not measured: CuTcAs2 after structural relaxation at the PBE level of DFT.

## Properties
formation enthalpy at 0 K	0.36	eV/atom
raw total energy	-22.31	eV/cell
density	8.3	g/cm³

Structure (CIF):
```
data_CuTcAs2
_chemical_formula_sum 'Cu1 Tc1 As2'
_symmetry_space_group_name_H-M 'P 1'
_symmetry_Int_Tables_number 1
_cell_length_a 3.2489
_cell_length_b 3.9137
_cell_length_c 4.9068
_cell_angle_alpha 90.00
_cell_angle_beta 90.00
_cell_angle_gamma 90.00
loop_
_symmetry_equiv_pos_as_xyz
'x,y,z'
loop_
_atom_site_label
_atom_site_type_symbol
_atom_site_fract_x
_atom_site_fract_y
_atom_site_fract_z
Cu1 Cu 0.0000 0.0000 0.0000
Tc1 Tc 0.5000 0.0000 0.5000
As1 As 0.0000 0.5000 0.5000
As2 As 0.5000 0.5000 0.0000
```

Record 6
Computed, not measured: Li2AgHRh after structural relaxation at the PBE level of DFT.

## Properties
raw total energy	-18.74	eV/cell
density	6.3	g/cm³

Structure (CIF):
```
data_Li2AgHRh
_chemical_formula_sum 'Li2 Ag1 H1 Rh1'
_symmetry_space_group_name_H-M 'P 1'
_symmetry_Int_Tables_number 1
_cell_length_a 4.1099
_cell_length_b 4.1099
_cell_length_c 3.5091
_cell_angle_alpha 90.00
_cell_angle_beta 90.00
_cell_angle_gamma 90.00
loop_
_symmetry_equiv_pos_as_xyz
'x,y,z'
loop_
_atom_site_label
_atom_site_type_symbol
_atom_site_fract_x
_atom_site_fract_y
_atom_site_fract_z
Li1 Li 0.0000 0.5000 0.0000
Li2 Li 0.5000 0.0000 0.0000
Ag1 Ag 0.0000 0.0000 0.5000
H1 H 0.5000 0.5000 0.0000
Rh1 Rh 0.5000 0.5000 0.5000
```

Record 7
Computed, not measured: Rb2OsI7 after structural relaxation at the PBE level of DFT.

## Properties
raw total energy	-28.19	eV/cell
density	4.4	g/cm³

Structure (CIF):
```
data_Rb2OsI7
_chemical_formula_sum 'Rb2 Os1 I7'
_symmetry_space_group_name_H-M 'P 1'
_symmetry_Int_Tables_number 1
_cell_length_a 8.8158
_cell_length_b 8.8158
_cell_length_c 8.8158
_cell_angle_alpha 121.37
_cell_angle_beta 121.37
_cell_angle_gamma 87.65
loop_
_symmetry_equiv_pos_as_xyz
'x,y,z'
loop_
_atom_site_label
_atom_site_type_symbol
_atom_site_fract_x
_atom_site_fract_y
_atom_site_fract_z
Rb1 Rb 0.2500 0.7500 0.5000
Rb2 Rb 0.7500 0.2500 0.5000
Os1 Os 0.0000 0.0000 0.0000
I1 I 0.2125 0.2125 0.0000
I2 I 0.2238 0.2238 0.4476
I3 I 0.2238 0.7762 0.0000
I4 I 0.5000 0.5000 0.0000
I5 I 0.7762 0.2238 0.0000
I6 I 0.7762 0.7762 0.5524
I7 I 0.7875 0.7875 0.0000
```

Record 8
Computed, not measured: Sc2TiGaH after structural relaxation at the PBE level of DFT.

## Properties
raw total energy	-28.82	eV/cell
density	4.5	g/cm³

Structure (CIF):
```
data_Sc2TiGaH
_chemical_formula_sum 'Sc2 Ti1 Ga1 H1'
_symmetry_space_group_name_H-M 'P 1'
_symmetry_Int_Tables_number 1
_cell_length_a 4.3190
_cell_length_b 4.3190
_cell_length_c 4.1635
_cell_angle_alpha 90.00
_cell_angle_beta 90.00
_cell_angle_gamma 90.00
loop_
_symmetry_equiv_pos_as_xyz
'x,y,z'
loop_
_atom_site_label
_atom_site_type_symbol
_atom_site_fract_x
_atom_site_fract_y
_atom_site_fract_z
Sc1 Sc 0.0000 0.5000 0.0000
Sc2 Sc 0.5000 0.0000 0.0000
Ti1 Ti 0.0000 0.0000 0.5000
Ga1 Ga 0.5000 0.5000 0.5000
H1 H 0.0000 0.0000 0.0000
```

Record 9
Computed, not measured: Pr3CdGe after structural relaxation at the PBE level of DFT.

## Properties
formation enthalpy at 0 K	-0.41	eV/atom
raw total energy	-43.81	eV/cell
density	6.8	g/cm³

Structure (CIF):
```
data_Pr3CdGe
_chemical_formula_sum 'Pr6 Cd2 Ge2'
_symmetry_space_group_name_H-M 'P 1'
_symmetry_Int_Tables_number 1
_cell_length_a 4.2466
_cell_length_b 7.3790
_cell_length_c 9.8774
_cell_angle_alpha 91.11
_cell_angle_beta 90.02
_cell_angle_gamma 106.71
loop_
_symmetry_equiv_pos_as_xyz
'x,y,z'
loop_
_atom_site_label
_atom_site_type_symbol
_atom_site_fract_x
_atom_site_fract_y
_atom_site_fract_z
Pr1 Pr 0.0494 0.0988 0.1530
Pr2 Pr 0.2424 0.4848 0.8266
Pr3 Pr 0.4214 0.8409 0.3727
Pr4 Pr 0.5786 0.1591 0.6273
Pr5 Pr 0.7576 0.5152 0.1734
Pr6 Pr 0.9506 0.9012 0.8470
Cd1 Cd 0.1823 0.3667 0.4267
Cd2 Cd 0.8177 0.6333 0.5733
Ge1 Ge 0.3918 0.7830 0.0688
Ge2 Ge 0.6082 0.2170 0.9312
```

Record 10
Computed, not measured: ScZnSi3 after structural relaxation at the PBE level of DFT.

## Properties
raw total energy	-20.70	eV/cell
density	3.2	g/cm³

Structure (CIF):
```
data_ScZnSi3
_chemical_formula_sum 'Sc1 Zn1 Si3'
_symmetry_space_group_name_H-M 'P 1'
_symmetry_Int_Tables_number 1
_cell_length_a 4.6538
_cell_length_b 4.6538
_cell_length_c 4.6538
_cell_angle_alpha 90.00
_cell_angle_beta 90.00
_cell_angle_gamma 90.00
loop_
_symmetry_equiv_pos_as_xyz
'x,y,z'
loop_
_atom_site_label
_atom_site_type_symbol
_atom_site_fract_x
_atom_site_fract_y
_atom_site_fract_z
Sc1 Sc 0.0000 0.0000 0.0000
Zn1 Zn 0.5000 0.5000 0.5000
Si1 Si 0.0000 0.5000 0.5000
Si2 Si 0.5000 0.0000 0.5000
Si3 Si 0.5000 0.5000 0.0000
```

Record 11
Computed, not measured: HfAg2Cl after structural relaxation at the PBE level of DFT.

## Properties
raw total energy	-34.15	eV/cell
density	8.5	g/cm³

Structure (CIF):
```
data_HfAg2Cl
_chemical_formula_sum 'Hf2 Ag4 Cl2'
_symmetry_space_group_name_H-M 'P 1'
_symmetry_Int_Tables_number 1
_cell_length_a 6.2199
_cell_length_b 6.2199
_cell_length_c 6.2199
_cell_angle_alpha 100.45
_cell_angle_beta 100.45
_cell_angle_gamma 129.59
loop_
_symmetry_equiv_pos_as_xyz
'x,y,z'
loop_
_atom_site_label
_atom_site_type_symbol
_atom_site_fract_x
_atom_site_fract_y
_atom_site_fract_z
Hf1 Hf 0.0000 0.0000 0.0000
Hf2 Hf 0.7500 0.2500 0.5000
Ag1 Ag 0.1230 0.6250 0.9980
Ag2 Ag 0.3750 0.3730 0.4980
Ag3 Ag 0.6270 0.1250 0.0020
Ag4 Ag 0.8750 0.8770 0.5020
Cl1 Cl 0.2500 0.7500 0.5000
Cl2 Cl 0.5000 0.5000 0.0000
```

Record 12
Computed, not measured: ZnTeIr2 after structural relaxation at the PBE level of DFT.

## Properties
raw total energy	-21.01	eV/cell
density	14.6	g/cm³

Structure (CIF):
```
data_ZnTeIr2
_chemical_formula_sum 'Zn1 Te1 Ir2'
_symmetry_space_group_name_H-M 'P 1'
_symmetry_Int_Tables_number 1
_cell_length_a 4.5290
_cell_length_b 4.5290
_cell_length_c 4.5290
_cell_angle_alpha 60.00
_cell_angle_beta 60.00
_cell_angle_gamma 60.00
loop_
_symmetry_equiv_pos_as_xyz
'x,y,z'
loop_
_atom_site_label
_atom_site_type_symbol
_atom_site_fract_x
_atom_site_fract_y
_atom_site_fract_z
Zn1 Zn 0.0000 0.0000 0.0000
Te1 Te 0.5000 0.5000 0.5000
Ir1 Ir 0.2500 0.2500 0.2500
Ir2 Ir 0.7500 0.7500 0.7500
```

> Number 6 is which compound?

Li2AgHRh